Entry 1:
Compound: ReTcS2Cl
Source: Alexandria via LeMat-Bulk
Functional: PBE-GGA
Structure: optimized geometry

Results
Formation energy from raw total energies   0.88 eV/atom
Symmetry   P4/mmm (123)
VASP energy   -5.702 eV per atom
Energy above the lowest structure with this stoichiometry   0.000 eV per atom

```
ReTcS2Cl
1.0
-4.1563 -0.5476 -1.8512
0.4536 -4.5485 0.3271
-2.0468 0.1237 4.5589
Re S Tc Cl
1 2 1 1
direct
0.0000 0.0000 0.0000
0.0000 0.5000 0.0000
0.5000 0.0000 0.0000
0.5000 0.5000 0.5000
0.0000 0.0000 0.5000
```



Entry 2:
Compound: ReTeSCl4
Source: Alexandria via LeMat-Bulk
Functional: PBE-GGA
Structure: optimized geometry

Results
Formation energy from raw total energies   -0.64 eV/atom
Symmetry   I-4 (82)
VASP energy   -4.515 eV per atom

```
ReTeSCl4
1.0
10.6497 -0.1947 0.0000
-1.7775 10.5021 0.0000
-4.4361 -5.1537 8.1984
Re Te S Cl
4 4 4 16
direct
0.6872 0.5444 0.0865
0.4579 0.6007 0.9135
0.3993 0.3128 0.8572
0.4556 0.5421 0.1428
0.9073 0.4387 0.0928
0.3459 0.8145 0.9072
0.1855 0.0927 0.5314
0.5613 0.6541 0.4686
0.5562 0.4378 0.8046
0.6332 0.7516 0.1954
0.2484 0.4438 0.8816
0.5622 0.3668 0.1184
0.8526 0.3078 0.8217
0.4861 0.0310 0.1783
0.9690 0.1474 0.4552
0.6922 0.5139 0.5448
0.8929 0.7019 0.0922
0.6097 0.8006 0.9078
0.1994 0.1071 0.8091
0.2981 0.3903 0.1909
0.8965 0.6389 0.3633
0.2756 0.5332 0.6367
0.4668 0.1035 0.7424
0.3611 0.7244 0.2576
0.8509 0.2222 0.1108
0.1114 0.7401 0.8892
0.2599 0.1491 0.3713
0.7778 0.8886 0.6287
```